Record 1
The following is a PBE with a Hubbard U calculation of an optimized crystal structure of Pr2PuNiO6, from the Alexandria database.

Lattice parameters (Å, degrees): 5.7060 5.9292 8.2935 90.00 88.52 90.00
Last column: magnetic moment on the atom in μB.
Element x y z (fractional)
Pu: 0.5000 0.0000 0.5000  4.21
O: 0.6199 0.0466 0.2451  -0.01
Ni: 0.5000 0.0000 0.0000  1.76
Ni: 0.0000 0.5000 0.5000  1.76
O: 0.1199 0.4534 0.7451  -0.01
Pr: 0.9788 0.0581 0.7473  0.02
Pu: 0.0000 0.5000 0.0000  4.21
Pr: 0.0212 0.9419 0.2527  0.02
O: 0.7059 0.3022 0.5648  -0.01
O: 0.3075 0.7034 0.0612  -0.01
O: 0.7941 0.8022 0.9352  -0.01
O: 0.2941 0.6978 0.4352  -0.01
O: 0.8075 0.7966 0.5612  -0.01
O: 0.2059 0.1978 0.0648  -0.01
Pr: 0.4788 0.4419 0.2473  0.02
O: 0.8801 0.5466 0.2549  -0.01
Pr: 0.5212 0.5581 0.7527  0.02
O: 0.1925 0.2034 0.4388  -0.01
O: 0.3801 0.9534 0.7549  -0.01
O: 0.6925 0.2966 0.9388  -0.01

Calculated values
Electronic total energy, eV per atom: -8.354
Calculated volume, A^3/atom: 14.024

=====

Record 2
The following is a PBE with a Hubbard U calculation of an optimized crystal structure of PrPu2NiO8, from the Alexandria database.

Lattice parameters (Å, degrees): 6.2737 6.2737 6.2737 110.63 110.63 107.18
Last column: magnetic moment on the atom in μB.
Element x y z (fractional)
Pu: 0.5000 0.5000 0.0000  3.29
O: 0.7340 0.0531 0.6810  -0.12
O: 0.3721 0.0531 0.3190  -0.12
O: 0.8927 0.6952 0.1976  -0.13
Pu: 0.7500 0.2500 0.5000  2.77
O: 0.9469 0.2660 0.3190  -0.12
O: 0.9469 0.6279 0.6810  -0.12
O: 0.3048 0.5024 0.1976  -0.13
Pr: 0.0000 0.0000 0.0000  0.00
Ni: 0.2500 0.7500 0.5000  1.81
O: 0.3048 0.1073 0.8024  -0.13
O: 0.4976 0.6952 0.8024  -0.13

Calculated values
Electronic total energy, eV per atom: -8.346
Calculated volume, A^3/atom: 15.821

=====

Record 3
The following is a PBE with a Hubbard U calculation of an optimized crystal structure of PrNiSe2O8, from the Alexandria database.

Lattice parameters (Å, degrees): 5.5416 5.5416 6.8724 90.00 90.00 120.00
Last column: magnetic moment on the atom in μB.
Element x y z (fractional)
Se: 0.3333 0.6667 0.7376  0.00
Ni: 0.0000 0.0000 0.0000  1.77
O: 0.6888 0.8444 0.7923  0.00
O: 0.1556 0.3112 0.7923  0.00
Pr: 0.0000 0.0000 0.5000  0.00
O: 0.1556 0.8444 0.7923  0.00
Se: 0.6667 0.3333 0.2624  0.00
O: 0.8444 0.6888 0.2077  0.00
O: 0.3333 0.6667 0.4925  0.02
O: 0.3112 0.1556 0.2077  0.00
O: 0.8444 0.1556 0.2077  0.00
O: 0.6667 0.3333 0.5075  0.02

Calculated values
Electronic total energy, eV per atom: -5.694
Calculated volume, A^3/atom: 15.231

=====

Record 4
The following is a PBE with a Hubbard U calculation of an optimized crystal structure of PrNi3Se4O12, from the Alexandria database.

Lattice parameters (Å, degrees): 6.7086 6.7086 6.7086 105.52 105.52 105.52
Last column: magnetic moment on the atom in μB.
Element x y z (fractional)
Se: 0.5000 0.5000 0.5000  0.01
O: 0.6748 0.5000 0.3252  0.01
O: 0.5000 0.0526 0.9474  0.03
O: 0.3252 0.6748 0.5000  0.01
O: 0.5000 0.3252 0.6748  0.01
O: 0.9474 0.5000 0.0526  0.03
Ni: 0.0000 0.5783 0.4217  1.75
Se: 0.5000 0.8912 0.1088  0.00
O: 0.0071 0.2581 0.3357  0.02
O: 0.7419 0.9929 0.6643  0.02
O: 0.2581 0.3357 0.0071  0.02
O: 0.9929 0.6643 0.7419  0.02
Ni: 0.4217 0.0000 0.5783  1.75
O: 0.3357 0.0071 0.2581  0.02
Se: 0.1088 0.5000 0.8912  0.00
O: 0.0526 0.9474 0.5000  0.03
O: 0.6643 0.7419 0.9929  0.02
Se: 0.8912 0.1088 0.5000  0.00
Pr: 0.0000 0.0000 0.0000  0.01
Ni: 0.5783 0.4217 0.0000  1.75

Calculated values
Electronic total energy, eV per atom: -5.184
Calculated volume, A^3/atom: 13.048

=====

Record 5
The following is a PBE with a Hubbard U calculation of an optimized crystal structure of SrPr2NiO5, from the Alexandria database.

Lattice parameters (Å, degrees): 5.7200 6.7326 6.7326 90.00 90.00 90.00
Element x y z (fractional)
Sr: 0.0000 0.5000 0.5000
O: 0.2338 0.8617 0.3617
O: 0.7662 0.8617 0.3617
O: 0.7662 0.3617 0.1383
Ni: 0.0000 0.5000 0.0000
Pr: 0.5000 0.3269 0.8269
Pr: 0.5000 0.6731 0.1731
O: 0.2338 0.6383 0.8617
O: 0.2338 0.3617 0.1383
Pr: 0.5000 0.1731 0.3269
O: 0.7662 0.6383 0.8617
Pr: 0.5000 0.8269 0.6731
O: 0.7662 0.1383 0.6383
O: 0.2338 0.1383 0.6383
O: 0.5000 0.5000 0.5000
Ni: 0.0000 0.0000 0.5000
Sr: 0.0000 0.0000 0.0000
O: 0.5000 0.0000 0.0000

Calculated values
Electronic total energy, eV per atom: -6.890
Calculated volume, A^3/atom: 14.404

=====

Record 6
The following is a PBE with a Hubbard U calculation of an optimized crystal structure of PrNi2TeO6, from the Alexandria database.

Lattice parameters (Å, degrees): 5.5119 5.5122 5.7079 61.12 61.12 59.99
Last column: magnetic moment on the atom in μB.
Element x y z (fractional)
O: 0.7123 0.1712 0.7593  0.11
Ni: 0.5242 0.5242 0.4275  1.79
O: 0.6269 0.2460 0.2252  0.24
Te: 0.3165 0.3165 0.0504  0.16
O: 0.9019 0.6270 0.2253  0.24
Ni: 0.0130 0.0130 0.9610  1.78
O: 0.2461 0.9018 0.2251  0.24
Pr: 0.7923 0.7925 0.6228  0.01
O: 0.3572 0.7122 0.7593  0.11
O: 0.1712 0.3573 0.7593  0.11

Calculated values
Electronic total energy, eV per atom: -5.851
Calculated volume, A^3/atom: 12.465

=====

Record 7
The following is a PBE with a Hubbard U calculation of an optimized crystal structure of Pr2NiTeO6, from the Alexandria database.

Lattice parameters (Å, degrees): 5.6604 5.9548 8.1837 90.00 88.92 90.00
Last column: magnetic moment on the atom in μB.
Element x y z (fractional)
Te: 0.5000 0.0000 0.5000  0.03
O: 0.6182 0.0451 0.2449  0.03
Pr: 0.9790 0.0633 0.7482  0.00
Ni: 0.5000 0.0000 0.0000  1.75
O: 0.8000 0.8033 0.9378  0.03
O: 0.1904 0.2007 0.4400  0.03
O: 0.6904 0.2993 0.9400  0.03
O: 0.7000 0.3033 0.5622  0.03
Pr: 0.0210 0.9367 0.2518  0.00
O: 0.3818 0.9549 0.7551  0.03
O: 0.8818 0.5451 0.2551  0.03
O: 0.1182 0.4549 0.7449  0.03
Te: 0.0000 0.5000 0.0000  0.03
O: 0.3000 0.6967 0.4378  0.03
Pr: 0.4790 0.4367 0.2482  0.00
Pr: 0.5210 0.5633 0.7518  0.00
Ni: 0.0000 0.5000 0.5000  1.75
O: 0.3096 0.7007 0.0600  0.03
O: 0.2000 0.1967 0.0622  0.03
O: 0.8096 0.7993 0.5600  0.03

Calculated values
Electronic total energy, eV per atom: -6.640
Calculated volume, A^3/atom: 13.790

=====

Record 8
The following is a PBE with a Hubbard U calculation of an optimized crystal structure of Pr2UNiO8, from the Alexandria database.

Lattice parameters (Å, degrees): 4.3765 5.3994 7.5788 80.78 94.27 96.82
Last column: magnetic moment on the atom in μB.
Element x y z (fractional)
Ni: 0.0000 0.0000 0.5000  0.97
O: 0.0987 0.8614 0.7352  0.18
O: 0.2949 0.2607 0.5092  0.21
Pr: 0.4213 0.5224 0.7416  0.00
O: 0.6005 0.7733 0.9761  0.04
O: 0.7051 0.7393 0.4908  0.21
O: 0.3995 0.2267 0.0239  0.04
O: 0.9013 0.1386 0.2648  0.18
O: 0.9021 0.3001 0.8199  0.03
U: 0.0000 0.0000 0.0000  -0.01
O: 0.0979 0.6999 0.1801  0.03
Pr: 0.5787 0.4776 0.2584  0.00

Calculated values
Electronic total energy, eV per atom: -7.748
Calculated volume, A^3/atom: 14.603

=====

Record 9
The following is a PBE with a Hubbard U calculation of an optimized crystal structure of PrV2NiO8, from the Alexandria database.

Lattice parameters (Å, degrees): 5.7991 5.7991 6.0715 90.00 90.00 120.00
Last column: magnetic moment on the atom in μB.
Element x y z (fractional)
O: 0.1635 0.8365 0.7134  -0.07
O: 0.3270 0.1635 0.2866  -0.07
O: 0.6730 0.8365 0.7134  -0.07
Pr: 0.0000 0.0000 0.0000  0.00
V: 0.6667 0.3333 0.3739  0.11
O: 0.8365 0.1635 0.2866  -0.07
O: 0.3333 0.6667 0.3540  -0.18
O: 0.1635 0.3270 0.7134  -0.07
Ni: 0.0000 0.0000 0.5000  1.65
O: 0.6667 0.3333 0.6460  -0.18
V: 0.3333 0.6667 0.6261  0.11
O: 0.8365 0.6730 0.2866  -0.07

Calculated values
Electronic total energy, eV per atom: -7.014
Calculated volume, A^3/atom: 14.736

=====

Record 10
The following is a PBE with a Hubbard U calculation of an optimized crystal structure of PrZnNi2O6, from the Alexandria database.

Lattice parameters (Å, degrees): 5.2185 5.4458 7.5672 90.00 90.00 90.00
Last column: magnetic moment on the atom in μB.
Element x y z (fractional)
O: 0.3601 0.7284 0.5000  -0.17
O: 0.7361 0.0091 0.3122  -0.26
O: 0.2361 0.9909 0.1878  -0.26
Zn: 0.9715 0.8006 0.5000  -0.02
O: 0.7361 0.0091 0.6878  -0.26
Zn: 0.4715 0.1994 0.0000  -0.02
O: 0.3057 0.4495 0.8075  -0.20
Pr: 0.5128 0.2951 0.5000  0.01
O: 0.8057 0.5505 0.6925  -0.20
Ni: 0.4976 0.7528 0.7483  1.27
O: 0.5772 0.8003 0.0000  -0.25
Ni: 0.9976 0.2472 0.2483  1.27
O: 0.8601 0.2716 0.0000  -0.17
O: 0.0772 0.1997 0.5000  -0.25
Pr: 0.0128 0.7049 0.0000  0.01
Ni: 0.9976 0.2472 0.7517  1.27
Ni: 0.4976 0.7528 0.2517  1.27
O: 0.3057 0.4495 0.1925  -0.20
O: 0.2361 0.9909 0.8122  -0.26
O: 0.8057 0.5505 0.3075  -0.20

Calculated values
Electronic total energy, eV per atom: -5.457
Calculated volume, A^3/atom: 10.753

=====

Record 11
The following is a PBE with a Hubbard U calculation of an optimized crystal structure of Ni2PtO2, from the Alexandria database.

Lattice parameters (Å, degrees): 6.6306 6.6306 2.7167 90.00 90.00 90.00
Last column: magnetic moment on the atom in μB.
Element x y z (fractional)
O: 0.6655 0.8345 0.5000  0.12
Ni: 0.3319 0.8319 0.0000  1.65
O: 0.3345 0.1655 0.5000  0.12
Ni: 0.6681 0.1681 0.0000  1.65
Ni: 0.8319 0.6681 0.0000  1.64
Ni: 0.1681 0.3319 0.0000  1.64
O: 0.1655 0.6655 0.5000  0.12
Pt: 0.0000 0.0000 0.0000  0.33
O: 0.8345 0.3345 0.5000  0.12
Pt: 0.5000 0.5000 0.0000  0.33

Calculated values
Calculated volume, A^3/atom: 11.944
Offset from the most stable computed form, eV/atom: 0.172

=====

Record 12
The following is a PBE with a Hubbard U calculation of an optimized crystal structure of NiPtO4, from the Alexandria database.

Lattice parameters (Å, degrees): 5.3530 5.3515 7.4657 121.20 121.20 63.57
Last column: magnetic moment on the atom in μB.
Element x y z (fractional)
O: 0.4745 0.7243 0.8848  -0.22
Pt: 0.3134 0.0634 0.1268  -0.46
O: 0.9103 0.1605 0.8848  -0.22
O: 0.5255 0.2757 0.1152  -0.22
O: 0.7665 0.5571 0.6296  -0.23
O: 0.2335 0.4429 0.3704  -0.23
Ni: 0.5671 0.3171 0.6343  1.60
O: 0.3632 0.0725 0.6296  -0.23
Pt: 0.6866 0.9366 0.8732  -0.46
Ni: 0.4329 0.6829 0.3657  1.60
O: 0.6368 0.9275 0.3704  -0.23
O: 0.0897 0.8395 0.1152  -0.22

Calculated values
Electronic total energy, eV per atom: -5.134
Calculated volume, A^3/atom: 12.654

=====

Record 13
The following is a PBE with a Hubbard U calculation of an optimized crystal structure of Ni5Pt3O12, from the Alexandria database.

Lattice parameters (Å, degrees): 3.0574 9.0289 9.0289 120.00 90.00 90.00
Last column: magnetic moment on the atom in μB.
Element x y z (fractional)
Pt: 0.5000 0.3110 0.3110  0.14
Pt: 0.5000 0.0000 0.6890  0.14
O: 0.5000 0.1898 0.4492  0.11
O: 0.0000 0.1703 0.1703  0.12
O: 0.0000 0.0000 0.5502  0.08
O: 0.0000 0.8297 0.0000  0.12
Ni: 0.0000 0.3352 0.0000  1.77
Ni: 0.0000 0.0000 0.3352  1.77
O: 0.5000 0.8102 0.2593  0.11
Pt: 0.5000 0.6890 0.0000  0.14
O: 0.0000 0.0000 0.8297  0.12
O: 0.0000 0.4498 0.4498  0.08
Ni: 0.0000 0.3333 0.6667  1.81
O: 0.5000 0.2593 0.8102  0.11
O: 0.5000 0.4492 0.1898  0.11
O: 0.0000 0.5502 0.0000  0.08
O: 0.5000 0.5508 0.7407  0.11
O: 0.5000 0.7407 0.5508  0.11
Ni: 0.0000 0.6667 0.3333  1.81
Ni: 0.0000 0.6648 0.6648  1.77

Calculated values
Electronic total energy, eV per atom: -5.110
Calculated volume, A^3/atom: 10.793

=====

Record 14
The following is a PBE with a Hubbard U calculation of an optimized crystal structure of NiPt2O, from the Alexandria database.

Lattice parameters (Å, degrees): 6.4316 6.4316 5.2615 52.32 52.32 90.00
Last column: magnetic moment on the atom in μB.
Element x y z (fractional)
Pt: 0.5781 0.1250 0.2500  0.25
Ni: 0.0000 0.0000 0.0000  1.34
Pt: 0.1719 0.6250 0.2500  0.25
O: 0.2500 0.7500 0.5000  0.04
Pt: 0.3750 0.4219 0.7500  0.25
O: 0.5000 0.5000 0.0000  0.04
Pt: 0.8750 0.8281 0.7500  0.26
Ni: 0.7500 0.2500 0.5000  1.33

Calculated values
Electronic total energy, eV per atom: -4.233
Calculated volume, A^3/atom: 13.681

=====

Record 15
The following is a PBE with a Hubbard U calculation of an optimized crystal structure of Ni2PtO4, from the Alexandria database.

Lattice parameters (Å, degrees): 5.9942 5.9942 8.7935 90.00 90.00 90.00
Last column: magnetic moment on the atom in μB.
Element x y z (fractional)
O: 0.9766 0.7482 0.2682  0.05
Pt: 0.0000 0.2611 0.0000  0.04
O: 0.7482 0.0234 0.0182  0.05
O: 0.0234 0.2518 0.7682  0.05
O: 0.2518 0.9766 0.5182  0.05
O: 0.2446 0.4947 0.9882  0.11
O: 0.4947 0.7554 0.7382  0.11
Ni: 0.7566 0.7566 0.8750  1.79
O: 0.4947 0.2446 0.7618  0.11
O: 0.2446 0.5053 0.5118  0.11
Ni: 0.5000 0.2683 0.0000  1.77
Pt: 0.7389 0.0000 0.2500  0.04
Ni: 0.2434 0.7566 0.1250  1.79
O: 0.7554 0.4947 0.0118  0.11
Ni: 0.2434 0.2434 0.3750  1.79
Pt: 0.0000 0.7389 0.5000  0.04
Ni: 0.5000 0.7317 0.5000  1.77
O: 0.5053 0.2446 0.2382  0.11
O: 0.0234 0.7482 0.7318  0.05
O: 0.7482 0.9766 0.4818  0.05
Ni: 0.7566 0.2434 0.6250  1.79
Ni: 0.7317 0.5000 0.2500  1.77
O: 0.2518 0.0234 0.9818  0.05
O: 0.7554 0.5053 0.4882  0.11
Pt: 0.2611 0.0000 0.7500  0.04
O: 0.5053 0.7554 0.2618  0.11
Ni: 0.2683 0.5000 0.7500  1.77
O: 0.9766 0.2518 0.2318  0.05

Calculated values
Calculated volume, A^3/atom: 11.284
Offset from the most stable computed form, eV/atom: 0.000

=====

Record 16
The following is a PBE with a Hubbard U calculation of an optimized crystal structure of NiPt3O, from the Alexandria database.

Lattice parameters (Å, degrees): 4.5824 4.5824 4.5824 90.00 90.00 90.00
Last column: magnetic moment on the atom in μB.
Element x y z (fractional)
Pt: 0.0000 0.5000 0.0000  0.39
Pt: 0.0000 0.0000 0.5000  0.38
O: 0.5000 0.5000 0.5000  -0.07
Ni: 0.0000 0.0000 0.0000  1.30
Pt: 0.5000 0.0000 0.0000  0.28

Calculated values
Calculated volume, A^3/atom: 19.245
Offset from the most stable computed form, eV/atom: 0.946

=====

Record 17
The following is a PBE with a Hubbard U calculation of an optimized crystal structure of NiPt3O8, from the Alexandria database.

Lattice parameters (Å, degrees): 6.2578 6.2576 5.9080 122.06 90.00 120.00
Last column: magnetic moment on the atom in μB.
Element x y z (fractional)
O: 0.7265 0.9635 0.1998  -0.14
O: 0.7369 0.4739 0.2103  0.00
O: 0.7634 0.5269 0.8007  -0.14
O: 0.7630 0.0365 0.8002  -0.14
O: 0.2370 0.9635 0.1998  -0.14
O: 0.2366 0.4731 0.1993  -0.14
Pt: 0.0000 0.5000 0.0000  -0.22
Pt: 0.5000 0.5000 0.0000  -0.22
Ni: 0.0000 0.0000 0.0000  1.61
O: 0.2631 0.5261 0.7897  0.00
O: 0.2735 0.0365 0.8002  -0.14
Pt: 0.5000 0.0000 0.0000  -0.23

Calculated values
Electronic total energy, eV per atom: -5.500
Calculated volume, A^3/atom: 13.193

=====

Record 18
The following is a PBE with a Hubbard U calculation of an optimized crystal structure of Ni2PtO4, from the Alexandria database.

Lattice parameters (Å, degrees): 4.1336 4.1336 5.3209 113.03 113.03 89.59
Last column: magnetic moment on the atom in μB.
Element x y z (fractional)
Pt: 0.0513 0.9487 0.0000  -0.02
O: 0.2902 0.1669 0.4571  0.11
O: 0.1313 0.4363 0.0000  0.07
O: 0.5637 0.8687 0.0000  0.07
Ni: 0.8151 0.1849 0.5000  1.79
O: 0.8331 0.7098 0.5429  0.11
Ni: 0.3151 0.6849 0.5000  1.79

Calculated values
Calculated volume, A^3/atom: 10.836
Offset from the most stable computed form, eV/atom: 0.203

=====

Record 19
The following is a PBE with a Hubbard U calculation of an optimized crystal structure of Ni2PtO2, from the Alexandria database.

Lattice parameters (Å, degrees): 3.8628 3.8628 5.0820 67.66 67.66 90.00
Last column: magnetic moment on the atom in μB.
Element x y z (fractional)
Ni: 0.6884 0.6884 0.6232  1.67
O: 0.7500 0.2500 0.5000  0.02
O: 0.2500 0.7500 0.5000  0.02
Ni: 0.3116 0.3116 0.3768  1.67
Pt: 0.0000 0.0000 0.0000  -0.04

Calculated values
Calculated volume, A^3/atom: 12.789
Offset from the most stable computed form, eV/atom: 0.000